Entry from Alexandria: a relaxed CsNa2GaAg crystal (GGA-PBE).

Values from the calculation:
The formation enthalpy at 0 K comes out at 0.045 eV per atom. The total energy is -1.83 eV per atom. As for the space-group type: No. 123. The polymorph energy (0 for the lowest one) comes out at 0.010 eV per atom.

abc: 5.939 5.939 5.100
angles: 90.00 90.00 90.00
Element x y z (fractional)
Na 0.500 0.000 0.000
Na 0.000 0.500 0.000
Cs 0.500 0.500 0.500
Ag 0.000 0.000 0.500
Ga 0.000 0.000 0.000